1.
# LiLaBr4

An optimized crystal structure of LiLaBr4 (PBE-GGA, the Alexandria database).

Geometry as CIF:
```
data_LiLaBr4
_chemical_formula_sum 'Li4 La4 Br16'
_cell_length_a 9.0745
_cell_length_b 9.0745
_cell_length_c 9.0745
_cell_angle_alpha 90.00
_cell_angle_beta 90.00
_cell_angle_gamma 90.00
_symmetry_space_group_name_H-M 'F -4 3 m'
_symmetry_Int_Tables_number 216
_symmetry_space_group_name_Hall 'F -4 2 3'
loop_
_atom_site_label
_atom_site_fract_x
_atom_site_fract_y
_atom_site_fract_z
Li1 0.0000 0.0000 0.0000
La1 0.2500 0.2500 0.2500
Br1 0.1253 0.1253 0.6253
```

Computed properties:
Total moment ... 0.37 μB/f.u.
Offset from the most stable computed form ... 32.61 kcal/mol of atoms
Formation energy from raw total energies ... -379 meV per atom
Total energy ... -63.22 eV for the cell shown

2.
# Li5La3Br12

An optimized crystal structure of Li5La3Br12 (PBE-GGA, the Alexandria database).

Geometry as CIF:
```
data_Li5La3Br12
_chemical_formula_sum 'Li40 La24 Br96'
_cell_length_a 16.4950
_cell_length_b 16.4950
_cell_length_c 16.4950
_cell_angle_alpha 90.00
_cell_angle_beta 90.00
_cell_angle_gamma 90.00
_symmetry_space_group_name_H-M 'I a -3 d'
_symmetry_Int_Tables_number 230
_symmetry_space_group_name_Hall '-I 4bd 2c 3'
loop_
_atom_site_label
_atom_site_fract_x
_atom_site_fract_y
_atom_site_fract_z
Li1 0.0000 0.0000 0.0000
Li2 0.0000 0.2500 0.3750
La1 0.0000 0.2500 0.1250
Br1 0.0300 0.0607 0.6514
```

Computed properties:
Total moment ... 1.78 μB/f.u.
Formation energy from raw total energies ... -1651 meV per atom
Total energy ... -619.49 eV for the cell shown

3.
# Li2LaBr

An optimized crystal structure of Li2LaBr (PBE-GGA, the Alexandria database).

Geometry as CIF:
```
data_Li2LaBr
_chemical_formula_sum 'Li2 La1 Br1'
_cell_length_a 3.4620
_cell_length_b 3.4620
_cell_length_c 8.4927
_cell_angle_alpha 90.00
_cell_angle_beta 90.00
_cell_angle_gamma 90.00
_symmetry_space_group_name_H-M 'P 4/m m m'
_symmetry_Int_Tables_number 123
_symmetry_space_group_name_Hall '-P 4 2'
loop_
_atom_site_label
_atom_site_fract_x
_atom_site_fract_y
_atom_site_fract_z
Li1 0.0000 0.0000 0.1790
La1 0.5000 0.5000 0.5000
Br1 0.5000 0.5000 0.0000
```

Computed properties:
Total moment ... 0.00 μB/f.u.
Formation energy from raw total energies ... -512 meV per atom
Total energy ... -12.48 eV for the cell shown

4.
# Li3LaBr

An optimized crystal structure of Li3LaBr (PBE-GGA, the Alexandria database).

Geometry as CIF:
```
data_Li3LaBr
_chemical_formula_sum 'Li3 La1 Br1'
_cell_length_a 5.1210
_cell_length_b 5.1210
_cell_length_c 5.1210
_cell_angle_alpha 90.00
_cell_angle_beta 90.00
_cell_angle_gamma 90.00
_symmetry_space_group_name_H-M 'P m -3 m'
_symmetry_Int_Tables_number 221
_symmetry_space_group_name_Hall '-P 4 2 3'
loop_
_atom_site_label
_atom_site_fract_x
_atom_site_fract_y
_atom_site_fract_z
Li1 0.0000 0.0000 0.5000
La1 0.5000 0.5000 0.5000
Br1 0.0000 0.0000 0.0000
```

Computed properties:
Total moment ... 0.00 μB/f.u.
Formation energy from raw total energies ... -128 meV per atom
Total energy ... -12.98 eV for the cell shown

5.
# LiLaBr

An optimized crystal structure of LiLaBr (PBE-GGA, the Alexandria database).

Geometry as CIF:
```
data_LiLaBr
_chemical_formula_sum 'Li2 La2 Br2'
_cell_length_a 3.5396
_cell_length_b 3.5396
_cell_length_c 13.3365
_cell_angle_alpha 90.00
_cell_angle_beta 90.00
_cell_angle_gamma 90.00
_symmetry_space_group_name_H-M 'I 4 m m'
_symmetry_Int_Tables_number 107
_symmetry_space_group_name_Hall 'I 4 -2'
loop_
_atom_site_label
_atom_site_fract_x
_atom_site_fract_y
_atom_site_fract_z
Li1 0.0000 0.0000 0.0000
La1 0.0000 0.0000 0.7095
Br1 0.0000 0.0000 0.3676
```

Computed properties:
Total moment ... 0.00 μB/f.u.
Offset from the most stable computed form ... 1.63 kcal/mol of atoms
Formation energy from raw total energies ... -683 meV per atom
Total energy ... -21.13 eV for the cell shown

6.
# LiLa3Br

An optimized crystal structure of LiLa3Br (PBE-GGA, the Alexandria database).

Geometry as CIF:
```
data_LiLa3Br
_chemical_formula_sum 'Li1 La3 Br1'
_cell_length_a 5.7324
_cell_length_b 5.7324
_cell_length_c 5.7324
_cell_angle_alpha 90.00
_cell_angle_beta 90.00
_cell_angle_gamma 90.00
_symmetry_space_group_name_H-M 'P m -3 m'
_symmetry_Int_Tables_number 221
_symmetry_space_group_name_Hall '-P 4 2 3'
loop_
_atom_site_label
_atom_site_fract_x
_atom_site_fract_y
_atom_site_fract_z
Li1 0.0000 0.0000 0.0000
La1 0.0000 0.5000 0.5000
Br1 0.5000 0.5000 0.5000
```

Computed properties:
Total moment ... 0.00 μB/f.u.
Offset from the most stable computed form ... 0.00 kcal/mol of atoms
Formation energy from raw total energies ... -210 meV per atom
Total energy ... -19.42 eV for the cell shown

7.
# LiLaBr

An optimized crystal structure of LiLaBr (PBE-GGA, the Alexandria database).

Geometry as CIF:
```
data_LiLaBr
_chemical_formula_sum 'Li4 La4 Br4'
_cell_length_a 3.8134
_cell_length_b 6.2864
_cell_length_c 14.7389
_cell_angle_alpha 90.00
_cell_angle_beta 90.00
_cell_angle_gamma 90.00
_symmetry_space_group_name_H-M 'F m m 2'
_symmetry_Int_Tables_number 42
_symmetry_space_group_name_Hall 'F 2 -2'
loop_
_atom_site_label
_atom_site_fract_x
_atom_site_fract_y
_atom_site_fract_z
Li1 0.0000 0.0000 0.0000
La1 0.0000 0.0000 0.7105
Br1 0.0000 0.0000 0.3818
```

Computed properties:
Total moment ... 0.57 μB/f.u.
Offset from the most stable computed form ... 1.36 kcal/mol of atoms
Formation energy from raw total energies ... -695 meV per atom
Total energy ... -42.40 eV for the cell shown

8.
# LiLaBr

An optimized crystal structure of LiLaBr (PBE-GGA, the Alexandria database).

Geometry as CIF:
```
data_LiLaBr
_chemical_formula_sum 'Li4 La4 Br4'
_cell_length_a 7.0743
_cell_length_b 7.0743
_cell_length_c 7.0743
_cell_angle_alpha 90.00
_cell_angle_beta 90.00
_cell_angle_gamma 90.00
_symmetry_space_group_name_H-M 'F -4 3 m'
_symmetry_Int_Tables_number 216
_symmetry_space_group_name_Hall 'F -4 2 3'
loop_
_atom_site_label
_atom_site_fract_x
_atom_site_fract_y
_atom_site_fract_z
Li1 0.0000 0.0000 0.0000
La1 0.0000 0.0000 0.5000
Br1 0.2500 0.2500 0.2500
```

Computed properties:
Total moment ... 0.94 μB/f.u.
Offset from the most stable computed form ... 6.88 kcal/mol of atoms
Formation energy from raw total energies ... -456 meV per atom
Total energy ... -39.52 eV for the cell shown

9.
# LiLaBr

An optimized crystal structure of LiLaBr (PBE-GGA, the Alexandria database).

Geometry as CIF:
```
data_LiLaBr
_chemical_formula_sum 'Li4 La4 Br4'
_cell_length_a 7.3354
_cell_length_b 7.3354
_cell_length_c 7.3354
_cell_angle_alpha 90.00
_cell_angle_beta 90.00
_cell_angle_gamma 90.00
_symmetry_space_group_name_H-M 'F -4 3 m'
_symmetry_Int_Tables_number 216
_symmetry_space_group_name_Hall 'F -4 2 3'
loop_
_atom_site_label
_atom_site_fract_x
_atom_site_fract_y
_atom_site_fract_z
Li1 0.0000 0.0000 0.0000
La1 0.2500 0.2500 0.7500
Br1 0.0000 0.0000 0.5000
```

Computed properties:
Total moment ... 0.54 μB/f.u.
Offset from the most stable computed form ... 11.83 kcal/mol of atoms
Formation energy from raw total energies ... -241 meV per atom
Total energy ... -36.94 eV for the cell shown

10.
# Li2LaBr

An optimized crystal structure of Li2LaBr (PBE-GGA, the Alexandria database).

Geometry as CIF:
```
data_Li2LaBr
_chemical_formula_sum 'Li8 La4 Br4'
_cell_length_a 7.3975
_cell_length_b 7.3975
_cell_length_c 7.3975
_cell_angle_alpha 90.00
_cell_angle_beta 90.00
_cell_angle_gamma 90.00
_symmetry_space_group_name_H-M 'F m -3 m'
_symmetry_Int_Tables_number 225
_symmetry_space_group_name_Hall '-F 4 2 3'
loop_
_atom_site_label
_atom_site_fract_x
_atom_site_fract_y
_atom_site_fract_z
Li1 0.2500 0.2500 0.2500
La1 0.0000 0.0000 0.0000
Br1 0.0000 0.0000 0.5000
```

Computed properties:
Total moment ... 0.00 μB/f.u.
Formation energy from raw total energies ... -3 meV per atom
Total energy ... -41.77 eV for the cell shown

11.
# Li2LaBr6

An optimized crystal structure of Li2LaBr6 (PBE-GGA, the Alexandria database).

Geometry as CIF:
```
data_Li2LaBr6
_chemical_formula_sum 'Li4 La2 Br12'
_cell_length_a 13.7691
_cell_length_b 4.6339
_cell_length_c 9.8709
_cell_angle_alpha 90.00
_cell_angle_beta 105.44
_cell_angle_gamma 90.00
_symmetry_space_group_name_H-M 'C 1 2/m 1'
_symmetry_Int_Tables_number 12
_symmetry_space_group_name_Hall '-C 2y'
loop_
_atom_site_label
_atom_site_fract_x
_atom_site_fract_y
_atom_site_fract_z
Li1 0.2143 0.0000 0.1555
La1 0.0000 0.0000 0.5000
Br1 0.0463 0.0000 0.2343
Br2 0.1443 0.5000 0.5957
Br3 0.1726 0.5000 0.0483
```

Computed properties:
Total moment ... 1.07 μB/f.u.
Formation energy from raw total energies ... -1419 meV per atom
Total energy ... -63.13 eV for the cell shown

12.
# Li2LaBr

An optimized crystal structure of Li2LaBr (PBE-GGA, the Alexandria database).

Geometry as CIF:
```
data_Li2LaBr
_chemical_formula_sum 'Li6 La3 Br3'
_cell_length_a 3.6511
_cell_length_b 3.6511
_cell_length_c 28.5188
_cell_angle_alpha 90.00
_cell_angle_beta 90.00
_cell_angle_gamma 120.00
_symmetry_space_group_name_H-M 'R -3 m'
_symmetry_Int_Tables_number 166
_symmetry_space_group_name_Hall '-R 3 2"'
loop_
_atom_site_label
_atom_site_fract_x
_atom_site_fract_y
_atom_site_fract_z
Li1 0.0000 0.0000 0.2240
La1 0.0000 0.0000 0.0000
Br1 0.0000 0.0000 0.5000
```

Computed properties:
Total moment ... 0.00 μB/f.u.
Formation energy from raw total energies ... -561 meV per atom
Total energy ... -38.02 eV for the cell shown